Crystalline K2TcPbBr8 at its relaxed geometry, computed with PBE.

POSCAR file:
```
K2TcPbBr8
1.0
6.837 0.000 0.000
0.256 7.518 0.000
0.023 0.011 8.871
K Tc Pb Br
2 1 1 8
Direct
0.003 0.000 0.240 K
0.997 0.000 0.760 K
0.500 0.500 0.000 Tc
0.500 0.500 0.500 Pb
0.254 0.825 0.501 Br
0.272 0.389 0.206 Br
0.274 0.386 0.795 Br
0.317 0.797 0.998 Br
0.683 0.203 0.002 Br
0.726 0.614 0.205 Br
0.728 0.611 0.794 Br
0.746 0.175 0.499 Br
```

Summary:
- space group = P-1 (2)
- formation energy from raw total energies (meV per atom) = -930

Crystalline KTiPbBr6 at its relaxed geometry, computed with PBE.

POSCAR file:
```
KTiPbBr6
1.0
7.440 0.000 0.000
-3.720 6.443 0.000
0.000 0.000 13.906
K Ti Pb Br
2 2 2 12
Direct
0.000 0.000 0.000 K
0.000 0.000 0.500 K
0.333 0.667 0.250 Ti
0.667 0.333 0.750 Ti
0.333 0.667 0.750 Pb
0.667 0.333 0.250 Pb
0.044 0.388 0.140 Br
0.044 0.656 0.360 Br
0.344 0.388 0.360 Br
0.344 0.956 0.140 Br
0.388 0.044 0.640 Br
0.388 0.344 0.860 Br
0.612 0.656 0.140 Br
0.612 0.956 0.360 Br
0.656 0.044 0.860 Br
0.656 0.612 0.640 Br
0.956 0.344 0.640 Br
0.956 0.612 0.860 Br
```

Summary:
- space group = P-31c (163)
- formation energy from raw total energies (meV per atom) = -1217

Crystalline KTiPbBr2 at its relaxed geometry, computed with PBE.

POSCAR file:
```
KTiPbBr2
1.0
5.679 0.000 0.000
0.000 5.679 0.000
0.000 0.000 6.406
K Ti Pb Br
1 1 1 2
Direct
0.000 0.000 0.000 K
0.500 0.500 0.500 Ti
0.000 0.000 0.500 Pb
0.000 0.500 0.000 Br
0.500 0.000 0.000 Br
```

Summary:
- space group = P4/mmm (123)
- formation energy from raw total energies (meV per atom) = 463

Crystalline KTiPb2Br8 at its relaxed geometry, computed with PBE.

POSCAR file:
```
KTiPb2Br8
1.0
6.691 0.000 0.000
0.175 7.065 0.000
0.014 0.000 9.038
K Ti Pb Br
1 1 2 8
Direct
0.000 0.000 0.000 K
0.000 0.000 0.500 Ti
0.500 0.500 0.258 Pb
0.500 0.500 0.742 Pb
0.216 0.306 0.500 Br
0.230 0.855 0.704 Br
0.231 0.856 0.295 Br
0.267 0.368 0.000 Br
0.733 0.632 0.000 Br
0.769 0.144 0.705 Br
0.770 0.145 0.296 Br
0.784 0.694 0.500 Br
```

Summary:
- space group = P-1 (2)
- formation energy from raw total energies (meV per atom) = -1098

Crystalline KTl2PbBr6 at its relaxed geometry, computed with PBE.

POSCAR file:
```
KTl2PbBr6
1.0
7.756 0.000 0.000
0.000 8.698 0.000
-6.934 0.000 11.332
K Tl Pb Br
2 4 2 12
Direct
0.000 0.000 0.000 K
0.000 0.500 0.500 K
0.200 0.071 0.730 Tl
0.200 0.429 0.230 Tl
0.800 0.571 0.770 Tl
0.800 0.929 0.270 Tl
0.500 0.000 0.500 Pb
0.500 0.500 0.000 Pb
0.145 0.168 0.462 Br
0.145 0.332 0.962 Br
0.253 0.721 0.409 Br
0.253 0.779 0.909 Br
0.405 0.080 0.263 Br
0.405 0.420 0.763 Br
0.595 0.580 0.237 Br
0.595 0.920 0.737 Br
0.747 0.221 0.091 Br
0.747 0.279 0.591 Br
0.855 0.668 0.038 Br
0.855 0.832 0.538 Br
```

Summary:
- space group = P2_1/c (14)
- formation energy from raw total energies (meV per atom) = -927

Crystalline KTl2Pb2Br7 at its relaxed geometry, computed with PBE.

POSCAR file:
```
KTl2Pb2Br7
1.0
-2.545 13.128 3.665
2.545 -13.128 3.665
2.545 13.128 -3.665
K Tl Pb Br
1 2 2 7
Direct
0.000 0.000 0.000 K
0.209 0.508 0.701 Tl
0.807 0.508 0.299 Tl
0.440 0.048 0.392 Pb
0.656 0.048 0.608 Pb
0.090 0.669 0.420 Br
0.228 0.949 0.279 Br
0.249 0.669 0.580 Br
0.635 0.760 0.875 Br
0.670 0.949 0.721 Br
0.686 0.186 0.500 Br
0.885 0.760 0.125 Br
```

Summary:
- space group = Imm2 (44)
- formation energy from raw total energies (meV per atom) = -1007